The following is a DFT calculation (PBE-GGA) of a relaxed Mn2Ni2I crystal.

Properties
* formation energy from raw total energies: 0.40 eV/atom

Geometry as POSCAR:
```
Mn2Ni2I
1.0
3.554 0.000 0.000
0.000 3.554 0.000
1.777 1.777 7.218
I Ni Mn
1 2 2
Direct
0.000 0.000 0.000 I
0.750 0.250 0.500 Ni
0.250 0.750 0.500 Ni
0.367 0.367 0.266 Mn
0.633 0.633 0.734 Mn
```

=====

The following is a DFT calculation (PBE-GGA) of a relaxed InPd5Pt2 crystal.

Properties
* ΔE_f: -221 meV/atom

Geometry as POSCAR:
```
InPd5Pt2
1.0
3.984 0.000 0.000
0.000 5.656 0.000
0.000 0.000 11.311
In Pd Pt
2 10 4
Direct
0.000 0.000 0.500 In
0.000 0.500 0.000 In
0.000 0.000 0.000 Pd
0.000 0.500 0.500 Pd
0.000 0.512 0.752 Pd
0.000 0.488 0.248 Pd
0.000 0.988 0.252 Pd
0.000 0.012 0.748 Pd
0.500 0.256 0.875 Pd
0.500 0.744 0.125 Pd
0.500 0.244 0.375 Pd
0.500 0.756 0.625 Pd
0.500 0.263 0.628 Pt
0.500 0.737 0.372 Pt
0.500 0.237 0.128 Pt
0.500 0.763 0.872 Pt
```

=====

The following is a DFT calculation (PBE-GGA) of a relaxed AlCoCu2 crystal.

Properties
* ΔE_f: -20 meV/atom

Geometry as POSCAR:
```
AlCoCu2
1.0
8.268 -0.005 -0.003
7.846 2.606 -0.003
7.846 1.266 2.277
Co Al Cu
1 1 2
Direct
0.752 0.752 0.752 Co
0.497 0.497 0.497 Al
0.002 0.002 0.002 Cu
0.250 0.250 0.250 Cu
```

=====

The following is a DFT calculation (PBE-GGA) of a relaxed InTcRh2 crystal.

Properties
* ΔE_f: 33 meV/atom

Geometry as POSCAR:
```
InTcRh2
1.0
-0.768 -2.720 0.475
2.568 -0.523 1.160
-2.716 1.972 6.902
In Rh Tc
1 2 1
Direct
0.500 0.500 0.756 In
0.000 0.000 0.008 Rh
0.500 0.500 0.259 Rh
0.000 0.000 0.477 Tc
```

=====

The following is a DFT calculation (PBE-GGA) of a relaxed Cd4BiPd15 crystal.

Properties
* ΔE_f: -247 meV/atom

Geometry as POSCAR:
```
Cd4BiPd15
1.0
-3.760 1.368 0.702
0.142 -1.538 3.757
7.595 17.372 6.824
Cd Bi Pd
4 1 15
Direct
0.000 0.000 0.204 Cd
0.000 0.000 0.401 Cd
0.000 0.000 0.599 Cd
0.000 0.000 0.796 Cd
0.000 0.000 0.000 Bi
0.500 0.500 0.000 Pd
0.500 0.500 0.203 Pd
0.500 0.500 0.402 Pd
0.500 0.500 0.598 Pd
0.500 0.500 0.797 Pd
0.500 0.000 0.104 Pd
0.500 0.000 0.303 Pd
0.500 0.000 0.500 Pd
0.500 0.000 0.697 Pd
0.500 0.000 0.896 Pd
0.000 0.500 0.104 Pd
0.000 0.500 0.303 Pd
0.000 0.500 0.500 Pd
0.000 0.500 0.697 Pd
0.000 0.500 0.896 Pd
```

=====

The following is a DFT calculation (PBE-GGA) of a relaxed La3Zn3Cu2 crystal.

Properties
* ΔE_f: -282 meV/atom

Geometry as POSCAR:
```
La3Zn3Cu2
1.0
4.613 0.000 0.000
-2.306 5.178 0.000
0.000 0.000 15.232
La Zn Cu
6 6 4
Direct
0.901 0.803 0.396 La
0.099 0.197 0.896 La
0.901 0.803 0.104 La
0.099 0.197 0.604 La
0.605 0.210 0.250 La
0.395 0.790 0.750 La
0.618 0.236 0.462 Zn
0.382 0.764 0.962 Zn
0.618 0.236 0.038 Zn
0.382 0.764 0.538 Zn
0.308 0.615 0.250 Zn
0.692 0.385 0.750 Zn
0.801 0.602 0.902 Cu
0.199 0.398 0.402 Cu
0.801 0.602 0.598 Cu
0.199 0.398 0.098 Cu
```